No. 1
Entry from Alexandria: AlAg3 at its PBEsol-relaxed geometry (meta-GGA SCAN).

Lattice parameters (Å, degrees): 5.708 2.912 8.285 90.00 109.29 90.00
Space group P2_1/m (No. 11)
Asymmetric unit:
Al: 0.195 0.250 0.131 [2 per cell]
Ag: 0.068 0.750 0.374 [2 per cell]
Ag: 0.298 0.750 0.888 [2 per cell]
Ag: 0.442 0.250 0.636 [2 per cell]

theoretical density: 8.96 g/cm3
uncorrected energy: -25.5439 eV/atom
V: 130 Å³/cell
formation enthalpy at 0 K: -0.0807 eV per atom


No. 2
Entry from Alexandria: CaLa2Ru at its PBEsol-relaxed geometry (meta-GGA SCAN).

Lattice parameters (Å, degrees): 4.0317 4.0317 28.6041 90.00 90.00 120.00
Space group R-3m (No. 166, hexagonal axes)
Asymmetric unit:
Ca: 0.0000 0.0000 0.0000 [3 per cell]
La: 0.0000 0.0000 0.2198 [6 per cell]
Ru: 0.0000 0.0000 0.5000 [3 per cell]

theoretical density: 5.18 g/cm3
uncorrected energy: -32.8447 eV/atom
V: 403 Å³/cell
formation enthalpy at 0 K: -0.1697 eV per atom


No. 3
Entry from Alexandria: Cd2Au3 at its PBEsol-relaxed geometry (meta-GGA SCAN).

Lattice parameters (Å, degrees): 3.037 3.037 19.376 90.00 90.00 90.00
Space group I4/mmm (No. 139)
Asymmetric unit:
Cd: 0.000 0.000 0.102 [4 per cell]
Au: 0.000 0.000 0.299 [4 per cell]
Au: 0.000 0.000 0.500 [2 per cell]

theoretical density: 15.16 g/cm3
uncorrected energy: -53.8412 eV/atom
V: 179 Å³/cell
formation enthalpy at 0 K: -0.1812 eV per atom


No. 4
Entry from Alexandria: Fe2SiPb at its PBEsol-relaxed geometry (meta-GGA SCAN).

Lattice parameters (Å, degrees): 3.688 3.688 8.342 90.00 90.00 90.00
Space group I-4m2 (No. 119)
Asymmetric unit:
Fe: 0.000 0.000 0.000 [2 per cell]
Fe: 0.000 0.500 0.250 [2 per cell]
Si: 0.000 0.500 0.750 [2 per cell]
Pb: 0.000 0.000 0.500 [2 per cell]

theoretical density: 10.15 g/cm3
formation energy from raw total energies: 603.5 meV per atom
uncorrected energy: -29.9106 eV/atom
V: 113 Å³/cell


No. 5
Entry from Alexandria: Mg2CrGeTe at its PBEsol-relaxed geometry (meta-GGA SCAN).

Lattice parameters (Å, degrees): 5.256 5.256 5.011 90.00 90.00 90.00
Space group P4/mmm (No. 123)
Asymmetric unit:
Mg: 0.000 0.500 0.000 [2 per cell]
Cr: 0.000 0.000 0.500 [1 per cell]
Ge: 0.500 0.500 0.500 [1 per cell]
Te: 0.000 0.000 0.000 [1 per cell]

theoretical density: 3.61 g/cm3
formation energy from raw total energies: 576.5 meV per atom
uncorrected energy: -16.3577 eV/atom
V: 138 Å³/cell


No. 6
Entry from Alexandria: YMg2Au at its PBEsol-relaxed geometry (meta-GGA SCAN).

Lattice parameters (Å, degrees): 4.908 4.908 6.915 90.00 90.00 90.00
Space group I-4m2 (No. 119)
Asymmetric unit:
Y: 0.000 0.000 0.000 [2 per cell]
Mg: 0.000 0.000 0.500 [2 per cell]
Mg: 0.000 0.500 0.250 [2 per cell]
Au: 0.000 0.500 0.750 [2 per cell]

theoretical density: 6.67 g/cm3
uncorrected energy: -27.3400 eV/atom
V: 167 Å³/cell
formation enthalpy at 0 K: -0.6032 eV per atom


No. 7
Entry from Alexandria: LaCoTe2 at its PBEsol-relaxed geometry (meta-GGA SCAN).

Lattice parameters (Å, degrees): 4.1211 4.1211 20.2901 90.00 90.00 120.00
Space group R3m (No. 160, hexagonal axes)
Asymmetric unit:
La: 0.0000 0.0000 0.0000 [3 per cell]
Co: 0.0000 0.0000 0.8284 [3 per cell]
Te: 0.0000 0.0000 0.2300 [3 per cell]
Te: 0.0000 0.0000 0.4376 [3 per cell]

theoretical density: 7.56 g/cm3
formation energy from raw total energies: -840.2 meV per atom
uncorrected energy: -34.5681 eV/atom
V: 298 Å³/cell


No. 8
Entry from Alexandria: CoAs2HCl at its PBEsol-relaxed geometry (meta-GGA SCAN).

Lattice parameters (Å, degrees): 4.623 4.623 3.229 90.00 90.00 90.00
Space group P4/mmm (No. 123)
Asymmetric unit:
Co: 0.000 0.000 0.000 [1 per cell]
As: 0.000 0.500 0.000 [2 per cell]
H: 0.000 0.000 0.500 [1 per cell]
Cl: 0.500 0.500 0.500 [1 per cell]

theoretical density: 5.90 g/cm3
uncorrected energy: -13.5576 eV/atom
V: 69 Å³/cell